Material: BeHg3Pt
Method: DFT, PBE-GGA
State: optimized geometry

- Spin magnetization: 0.0 μB/f.u.
- Formation energy from the elements: 54.94 kJ per mole of atoms
- Distance to the lowest polymorph of the same formula: 0.0 kJ per mole of atoms
- Crystal system: cubic

Geometry as POSCAR:
```
BeHg3Pt
1.0
-3.414 2.681 -1.697
0.078 -2.422 -3.982
-3.172 -2.945 1.729
Be Hg Pt
1 3 1
Cartesian
0.000 0.000 0.000
0.039 -1.211 -1.991
-1.586 -1.472 0.865
-1.707 1.341 -0.849
-3.254 -1.343 -1.975
```